MnGaOF2 | PBE with a Hubbard U | relaxed

a = 4.1936 Å, b = 4.1936 Å, c = 3.8568 Å
α = 90.00°, β = 90.00°, γ = 90.00°
Closest atoms and distances in Å follow each position.
Atoms (fractional coordinates):
Ga (0.5000, 0.5000, 0.5000)  8 F 2.85, 4 O 2.97
F (0.5000, 0.0000, 0.0000)  2 Mn 2.10
F (0.0000, 0.5000, 0.0000)  2 Mn 2.10
O (0.0000, 0.0000, 0.5000)  2 Mn 1.93
Mn (0.0000, 0.0000, 0.0000)  2 O 1.93, 4 F 2.10

Values from the calculation:
Relative energy among the computed polymorphs (meV per atom): 0
M_tot (μB per atom): 0.8000
Space-group type: No. 123